No. 1
A plane-wave DFT calculation with GGA-PBEsol was carried out for a geometry-optimized TeAs2IBr structure.

## Properties
Its crystal system is tetragonal. The energy relative to the elements, uncorrected is 1.013 eV/atom. The calculation puts the density of states at the Fermi level at 4.11 states/eV/cell. The value obtained for the spin magnetization is 0.000 μB/cell.

Cell lengths 5.416, 5.416, 5.262 Å; angles 90.00, 90.00, 90.00 degrees
Sites, in units of the cell vectors:
Te1 0.000 0.000 0.000
As1 0.000 0.500 0.500
As2 0.500 0.000 0.500
I1 0.500 0.500 0.500
Br1 0.500 0.500 0.000



No. 2
A plane-wave DFT calculation with GGA-PBEsol was carried out for a geometry-optimized TeAsI2Br structure.

## Properties
Its crystal system is tetragonal. The energy relative to the elements, uncorrected is 0.312 eV/atom. The calculation puts the density of states at the Fermi level at 5.98 states/eV/cell. The value obtained for the spin magnetization is 0.006 μB/cell.

Cell lengths 5.481, 5.481, 5.517 Å; angles 90.00, 90.00, 90.00 degrees
Sites, in units of the cell vectors:
Te1 0.000 0.000 0.000
As1 0.000 0.000 0.500
I1 0.000 0.500 0.500
I2 0.500 0.000 0.500
Br1 0.500 0.500 0.000



No. 3
A plane-wave DFT calculation with GGA-PBEsol was carried out for a geometry-optimized TeAsIBr2 structure.

## Properties
Its crystal system is tetragonal. The energy relative to the elements, uncorrected is 0.317 eV/atom. The calculation puts the density of states at the Fermi level at 3.10 states/eV/cell. The value obtained for the spin magnetization is 0.000 μB/cell.

Cell lengths 5.323, 5.323, 5.702 Å; angles 90.00, 90.00, 90.00 degrees
Sites, in units of the cell vectors:
Te1 0.000 0.000 0.000
As1 0.000 0.000 0.500
I1 0.500 0.500 0.500
Br1 0.000 0.500 0.000
Br2 0.500 0.000 0.000